No. 1
YSnRu2O | PBE-GGA | relaxed

Its crystal system is tetragonal. The final energy comes out at -6.120 eV/atom. The calculation puts the formation energy from raw total energies at 0.675 eV per atom. The calculation puts the density of states at the Fermi level at 6.87 states/eV/cell.

Lattice parameters (Å, degrees): 5.093 5.093 4.155 90.00 90.00 90.00
Space group P4/mmm (No. 123)
Inequivalent atoms, fractional coordinates:
Y (0.000, 0.000, 0.000)
Sn (0.500, 0.500, 0.500)
Ru (0.000, 0.500, 0.000)
O (0.000, 0.000, 0.500)

No. 2
Tm11Cd9Hg4 | PBE-GGA | relaxed

The value obtained for the formation energy is -0.34 eV per atom. Its crystal system is orthorhombic. The final energy comes out at -2.785 eV/atom. The calculation puts the density of states at the Fermi level at 35.55 states/eV/cell.

Lattice parameters (Å, degrees): 14.738 21.939 3.725 90.00 90.00 90.00
Space group Cmmm (No. 65)
Inequivalent atoms, fractional coordinates:
Tm (0.000, 0.000, 0.000)
Tm (0.000, 0.165, 0.000)
Tm (0.000, 0.352, 0.000)
Tm (0.232, 0.500, 0.000)
Tm (0.240, 0.172, 0.000)
Cd (0.000, 0.500, 0.500)
Cd (0.112, 0.257, 0.500)
Cd (0.128, 0.078, 0.500)
Hg (0.146, 0.405, 0.500)

No. 3
PrErMgCu | PBE-GGA | relaxed

The value obtained for the formation energy is -0.04 eV per atom. Its crystal system is cubic. The final energy comes out at -3.800 eV/atom. The calculation puts the density of states at the Fermi level at 18.15 states/eV/cell.

Lattice parameters (Å, degrees): 7.373 7.373 7.373 90.00 90.00 90.00
Space group F-43m (No. 216)
Inequivalent atoms, fractional coordinates:
Pr (0.000, 0.000, 0.000)
Er (0.000, 0.000, 0.500)
Mg (0.250, 0.250, 0.250)
Cu (0.250, 0.250, 0.750)

No. 4
Y2Be3SnPt4 | PBE-GGA | relaxed

The value obtained for the formation energy is -0.86 eV per atom. Its crystal system is tetragonal. The final energy comes out at -6.089 eV/atom. The calculation puts the density of states at the Fermi level at 3.81 states/eV/cell.

Lattice parameters (Å, degrees): 4.082 4.082 10.194 90.00 90.00 90.00
Space group P-4m2 (No. 115)
Inequivalent atoms, fractional coordinates:
Y (0.000, 0.500, 0.234)
Be (0.000, 0.500, 0.887)
Be (0.500, 0.500, 0.500)
Sn (0.000, 0.000, 0.500)
Pt (0.000, 0.000, 0.000)
Pt (0.000, 0.500, 0.663)
Pt (0.500, 0.500, 0.000)

No. 5
Mg2TlIn9 | PBE-GGA | relaxed

The value obtained for the formation energy is 0.01 eV per atom. Its crystal system is hexagonal. The final energy comes out at -2.505 eV/atom. The calculation puts the density of states at the Fermi level at 6.57 states/eV/cell.

Lattice parameters (Å, degrees): 10.5084 10.5084 3.3616 90.00 90.00 120.00
Space group P6/mmm (No. 191)
Inequivalent atoms, fractional coordinates:
Mg (0.3333, 0.6667, 0.0000)
Tl (0.0000, 0.0000, 0.0000)
In (0.0000, 0.5000, 0.0000)
In (0.1781, 0.3563, 0.5000)

No. 6
TaReBrN2 | PBE-GGA | relaxed

Its crystal system is tetragonal. The final energy comes out at -5.720 eV/atom. The calculation puts the formation energy from raw total energies at 2.805 eV per atom. The calculation puts the density of states at the Fermi level at 4.70 states/eV/cell.

Lattice parameters (Å, degrees): 3.913 3.913 5.030 90.00 90.00 90.00
Space group P4/mmm (No. 123)
Inequivalent atoms, fractional coordinates:
Ta (0.000, 0.000, 0.000)
Re (0.500, 0.500, 0.000)
Br (0.000, 0.000, 0.500)
N (0.000, 0.500, 0.500)